{
  "formula": "Tc2AuSe",
  "functional": "PBE-GGA",
  "state": "optimized geometry",
  "lattice": [[3.063, 0.000, 0.000], [0.000, 3.063, 0.000], [0.000, 0.000, 6.638]],
  "species": ["Tc", "Tc", "Au", "Se"],
  "fractional_positions": [[0.000, 0.000, 0.220], [0.000, 0.000, 0.780], [0.500, 0.500, 0.500], [0.500, 0.500, 0.000]],
  "sg": "P4/mmm (123)",
  "formation_energy_uncorrected_ev_per_atom": 0.325,
  "m_tot_mub_per_fu": 0.001,
  "energy_ev_per_atom": -6.549
}